Entry 1:
Computed, not measured: a geometry-optimized AlSbMo structure at the PBE-GGA level of DFT.

**Space-group type**: F-43m
**E**: -16.56 eV/f.u.

```
3
Lattice="3.2132 -2.3039 -2.1392 1.2750 -4.0296 1.5315 -1.0518 -3.7153 -2.3021" Properties=species:S:1:pos:R:3 pbc="T T T"
Sb 0.0000 0.0000 0.0000
Al 0.8591 -2.5122 -0.7275
Mo 2.5773 -7.5366 -2.1824
```

Entry 2:
Computed, not measured: a geometry-optimized ScAl2Mo structure at the PBE-GGA level of DFT.

**Space-group type**: F-43m
**E**: -24.73 eV/f.u.

```
4
Lattice="-3.8112 -0.7951 2.3698 -4.0634 0.3505 -2.0344 -2.4621 -3.7440 -0.8328" Properties=species:S:1:pos:R:3 pbc="T T T"
Al -2.5842 -1.0471 -0.1244
Al -5.1683 -2.0943 -0.2487
Mo -7.7525 -3.1414 -0.3731
Sc 0.0000 0.0000 0.0000
```

Q: Which formula does entry 1 have?
A: AlSbMo